(1)
VASP calculation (GGA-PBE) on an optimized crystal structure of Tb4TmGa4.

Unit cell a=7.4755 b=7.4755 c=7.4755 alpha=95.68 beta=95.68 gamma=143.31
Last column: nearest neighbours and their distance in Å.
Sites, in units of the cell vectors:
Tb1 0.1304 0.6444 0.7748  4 Ga 2.94-3.05
Tb2 0.3556 0.1304 0.4859  4 Ga 2.94-3.05
Tb3 0.6444 0.8696 0.5141  4 Ga 2.94-3.05
Tb4 0.8696 0.3556 0.2252  4 Ga 2.94-3.05
Tm1 0.0000 0.0000 0.0000  8 Ga 3.00
Ga1 0.3287 0.4284 0.7570  2 Ga 2.64, 1 Tb 2.94
Ga2 0.4284 0.6713 0.0997  2 Ga 2.64, 1 Tb 2.94
Ga3 0.5716 0.3287 0.9003  2 Ga 2.64, 1 Tb 2.94
Ga4 0.6713 0.5716 0.2430  2 Ga 2.64, 1 Tb 2.94

Results
The calculation puts the formation energy at -3.5 eV/f.u. The total energy is -4.29 eV/atom. Its space-group type is I4/m (87).



(2)
VASP calculation (GGA-PBE) on an optimized crystal structure of LaOsW2S.

Unit cell a=4.9000 b=4.9000 c=4.8175 alpha=90.00 beta=90.00 gamma=90.00
Last column: nearest neighbours and their distance in Å.
Sites, in units of the cell vectors:
La1 0.0000 0.0000 0.0000  2 Os 2.41, 4 W 2.45
Os1 0.0000 0.0000 0.5000  2 La 2.41
W1 0.0000 0.5000 0.0000  2 La 2.45
W2 0.5000 0.0000 0.0000  2 La 2.45
S1 0.5000 0.5000 0.5000  8 W 3.44, 4 Os 3.46

Results
The total energy is -5.95 eV/atom. Its space-group type is P4/mmm (123). The formation energy from raw total energies is 3.29 eV/atom.



(3)
VASP calculation (GGA-PBE) on an optimized crystal structure of Tb3Sm4Ge4.

Unit cell a=9.9011 b=9.9011 c=9.9011 alpha=157.90 beta=127.23 gamma=57.89
Last column: nearest neighbours and their distance in Å.
Sites, in units of the cell vectors:
Tb1 0.0000 0.0000 0.0000  4 Ge 3.09
Tb2 0.4051 0.9051 0.5000  6 Ge 2.93-3.19
Tb3 0.5949 0.0949 0.5000  6 Ge 2.93-3.19
Sm1 0.0056 0.3298 0.6758  4 Ge 3.00-3.08, 1 Sm 3.09
Sm2 0.3461 0.6702 0.6758  4 Ge 3.00-3.08, 1 Sm 3.09
Sm3 0.6539 0.3298 0.3242  4 Ge 3.00-3.08, 1 Sm 3.09
Sm4 0.9944 0.6702 0.3242  4 Ge 3.00-3.08, 1 Sm 3.09
Ge1 0.2761 0.2761 0.0000  2 Tb 2.93, 6 Sm 3.00-3.06
Ge2 0.2765 0.5000 0.7765  2 Sm 3.08, 6 Tb 3.09-3.19
Ge3 0.7235 0.5000 0.2235  2 Sm 3.08, 6 Tb 3.09-3.19
Ge4 0.7239 0.7239 0.0000  2 Tb 2.93, 6 Sm 3.00-3.06

Results
The calculation puts the formation energy at -6.7 eV/f.u. The total energy is -5.27 eV/atom. Its space-group type is Immm (71).



(4)
VASP calculation (GGA-PBE) on an optimized crystal structure of SrYTm4S8.

Unit cell a=8.1002 b=8.1002 c=8.1002 alpha=59.74 beta=59.74 gamma=59.74
Last column: nearest neighbours and their distance in Å.
Sites, in units of the cell vectors:
Sr1 0.0000 0.0000 0.0000  4 S 2.76-2.77
Y1 0.3722 0.3722 0.3722  6 S 2.71-2.83
Tm1 0.3723 0.3723 0.8799  6 S 2.66-2.79
Tm2 0.3723 0.8799 0.3723  6 S 2.66-2.79
Tm3 0.7489 0.7489 0.7489  4 S 2.61-2.63
Tm4 0.8799 0.3723 0.3723  6 S 2.66-2.79
S1 0.1362 0.1362 0.5808  2 Tm 2.66, 1 Y 2.71, 1 Sr 2.76
S2 0.1362 0.5808 0.1362  2 Tm 2.66, 1 Y 2.71, 1 Sr 2.76
S3 0.1393 0.1393 0.1393  3 Tm 2.67, 1 Sr 2.77
S4 0.1452 0.6192 0.6192  3 Tm 2.61-2.79, 1 Y 2.83
S5 0.5808 0.1362 0.1362  2 Tm 2.66, 1 Y 2.71, 1 Sr 2.76
S6 0.6165 0.6165 0.6165  4 Tm 2.63-2.79
S7 0.6192 0.1452 0.6192  3 Tm 2.61-2.79, 1 Y 2.83
S8 0.6192 0.6192 0.1452  3 Tm 2.61-2.79, 1 Y 2.83

Results
The total energy is -6.20 eV/atom. Its space-group type is R3m (160). The formation energy from raw total energies is -1.98 eV/atom.



(5)
VASP calculation (GGA-PBE) on an optimized crystal structure of Mg3AgAu5.

Unit cell a=8.0866 b=8.0866 c=5.7341 alpha=90.00 beta=90.00 gamma=120.00
Last column: nearest neighbours and their distance in Å.
Sites, in units of the cell vectors:
Mg1 0.0000 0.3441 0.2500  9 Au 2.70-3.02
Mg2 0.0000 0.6559 0.7500  9 Au 2.70-3.02
Mg3 0.3441 0.0000 0.2500  9 Au 2.70-3.02
Mg4 0.3441 0.3441 0.7500  9 Au 2.70-3.02
Mg5 0.6559 0.0000 0.7500  9 Au 2.70-3.02
Mg6 0.6559 0.6559 0.2500  9 Au 2.70-3.02
Ag1 0.0000 0.0000 0.0000  2 Ag 2.87, 6 Au 2.97, 6 Mg 3.13
Ag2 0.0000 0.0000 0.5000  2 Ag 2.87, 6 Au 2.97, 6 Mg 3.13
Au1 0.0000 0.3222 0.7500  5 Mg 2.70-2.87, 2 Ag 2.97
Au2 0.0000 0.6778 0.2500  5 Mg 2.70-2.87, 2 Ag 2.97
Au3 0.3222 0.0000 0.7500  5 Mg 2.70-2.87, 2 Ag 2.97
Au4 0.3222 0.3222 0.2500  5 Mg 2.70-2.87, 2 Ag 2.97
Au5 0.3333 0.6667 0.0000  8 Au 2.87-3.09, 6 Mg 3.02
Au6 0.3333 0.6667 0.5000  8 Au 2.87-3.09, 6 Mg 3.02
Au7 0.6667 0.3333 0.0000  8 Au 2.87-3.09, 6 Mg 3.02
Au8 0.6667 0.3333 0.5000  8 Au 2.87-3.09, 6 Mg 3.02
Au9 0.6778 0.0000 0.2500  5 Mg 2.70-2.87, 2 Ag 2.97
Au10 0.6778 0.6778 0.7500  5 Mg 2.70-2.87, 2 Ag 2.97

Results
The calculation puts the formation energy at -3.9 eV/f.u. The total energy is -3.10 eV/atom. Its space-group type is P6_3/mcm (193).



(6)
VASP calculation (GGA-PBE) on an optimized crystal structure of TlGaAgPt.

Unit cell a=3.3010 b=3.6989 c=6.7450 alpha=90.00 beta=90.00 gamma=90.00
Last column: nearest neighbours and their distance in Å.
Sites, in units of the cell vectors:
Tl1 0.0000 0.0000 0.0000  2 Pt 3.03, 4 Ag 3.07, 2 Tl 3.30, 2 Ga 3.35
Ga1 0.5000 0.0000 0.4316  4 Pt 2.53, 2 Ag 2.74
Ag1 0.5000 0.5000 0.7304  2 Ga 2.74, 2 Pt 3.02
Pt1 0.0000 0.5000 0.3556  4 Ga 2.53

Results
The calculation puts the formation energy at -0.5 eV/f.u. The total energy is -3.70 eV/atom. Its space-group type is Pmm2 (25). As for the energy above the most stable polymorph in this dataset: 40 meV per atom.



(7)
VASP calculation (GGA-PBE) on an optimized crystal structure of TbPr2NdTe5.

Unit cell a=5.5591 b=5.5591 c=11.8357 alpha=90.00 beta=90.00 gamma=90.00
Last column: nearest neighbours and their distance in Å.
Sites, in units of the cell vectors:
Tb1 0.0000 0.0000 0.0000  6 Te 2.78-2.97
Pr1 0.5000 0.5000 0.1595  4 Te 3.36
Pr2 0.5000 0.5000 0.8405  4 Te 3.36
Nd1 0.0000 0.0000 0.5000  2 Te 2.95
Te1 0.0000 0.0000 0.2508  1 Nd 2.95, 1 Tb 2.97
Te2 0.0000 0.0000 0.7492  1 Nd 2.95, 1 Tb 2.97
Te3 0.0000 0.5000 0.0000  2 Tb 2.78
Te4 0.5000 0.0000 0.0000  2 Tb 2.78
Te5 0.5000 0.5000 0.5000  4 Nd 3.93, 2 Pr 4.03

Results
The total energy is -4.70 eV/atom. Its space-group type is P4/mmm (123). The formation energy from raw total energies is -0.85 eV/atom.



(8)
VASP calculation (GGA-PBE) on an optimized crystal structure of CdGeF6.

Unit cell a=5.1679 b=5.1679 c=9.6167 alpha=90.00 beta=90.00 gamma=120.00
Last column: nearest neighbours and their distance in Å.
Sites, in units of the cell vectors:
Cd1 0.3333 0.6667 0.2500  6 F 2.27
Cd2 0.6667 0.3333 0.7500  6 F 2.27
Ge1 0.0000 0.0000 0.0000  6 F 1.83
Ge2 0.0000 0.0000 0.5000  6 F 1.83
F1 0.0043 0.2916 0.1101  1 Ge 1.83
F2 0.0043 0.7126 0.3899  1 Ge 1.83
F3 0.2874 0.2916 0.3899  1 Ge 1.83
F4 0.2874 0.9957 0.1101  1 Ge 1.83
F5 0.2916 0.0043 0.6101  1 Ge 1.83
F6 0.2916 0.2874 0.8899  1 Ge 1.83
F7 0.7084 0.7126 0.1101  1 Ge 1.83
F8 0.7084 0.9957 0.3899  1 Ge 1.83
F9 0.7126 0.0043 0.8899  1 Ge 1.83
F10 0.7126 0.7084 0.6101  1 Ge 1.83
F11 0.9957 0.2874 0.6101  1 Ge 1.83
F12 0.9957 0.7084 0.8899  1 Ge 1.83

Results
The total energy is -4.46 eV/atom. Its space-group type is P-31c (163). The formation energy from raw total energies is -2.37 eV/atom.



| no. | size of the total moment (μB/atom) | density of states at the Fermi level (states/eV per cell) |
| --- | --- | --- |
| 1 | 0.000 | 6.9 |
| 2 | 0.234 | 8.1 |
| 3 | 0.000 | 9.2 |
| 4 | 0.000 | 3.6 |
| 5 | 0.000 | 7.4 |
| 6 | 0.000 | 1.0 |
| 7 | 0.071 | 5.0 |
| 8 | 0.000 | 0.0 |